(1)
Crystalline NbBrN at its relaxed geometry, computed with PBE.

Lattice parameters (Å, degrees): 6.8010 5.9372 8.8626 90.00 125.72 90.00
Positions (direct):
Br (0.4701, 0.1564, 0.2066)
N (0.4977, 0.6681, 0.3926)
Nb (0.7888, 0.8770, 0.4684)
Br (0.5299, 0.8436, 0.7934)
Nb (0.2888, 0.6230, 0.4684)
Nb (0.2112, 0.1230, 0.5316)
Br (0.0299, 0.6564, 0.7934)
N (0.0023, 0.1681, 0.6074)
Br (0.9701, 0.3436, 0.2066)
N (0.9977, 0.8319, 0.3926)
N (0.5023, 0.3319, 0.6074)
Nb (0.7112, 0.3770, 0.5316)

Calculated values
Space group ... No. 14
Formation energy (no corrections) ... -0.694 eV per atom
N(E_F) ... 1.01 states/eV/f.u.


(2)
Crystalline In3NiAu at its relaxed geometry, computed with PBE.

Lattice parameters (Å, degrees): 4.9391 4.9391 4.9391 90.00 90.00 90.00
Positions (direct):
In (0.0000, 0.0000, 0.5000)
In (0.0000, 0.5000, 0.0000)
Au (0.5000, 0.5000, 0.5000)
Ni (0.0000, 0.0000, 0.0000)
In (0.5000, 0.0000, 0.0000)

Calculated values
Space group ... No. 221
Excess energy over the best structure of this formula in the dataset ... 45 kJ/mol of formula units
Energy of formation ... 0.009 eV per atom
N(E_F) ... 1.66 states/eV/f.u.


(3)
Crystalline CaCe2DySe4 at its relaxed geometry, computed with PBE.

Lattice parameters (Å, degrees): 4.1404 7.3082 7.1933 70.97 90.00 90.00
Site moments in Bohr magnetons follow the coordinates.
Positions (direct):
Se (0.0000, 0.2602, 0.2489)  -0.01
Ce (0.0000, 0.0000, 0.0000)  0.98
Se (0.5000, 0.2616, 0.7445)  -0.01
Dy (0.0000, 0.5000, 0.5000)  0.01
Ce (0.5000, 0.0000, 0.5000)  0.99
Ca (0.5000, 0.5000, 0.0000)  0.01
Se (0.5000, 0.7384, 0.2555)  -0.01
Se (0.0000, 0.7398, 0.7511)  -0.01

Calculated values
Space group ... No. 10
Formation energy (no corrections) ... -1.826 eV per atom
N(E_F) ... 13.18 states/eV/f.u.


(4)
Crystalline MgSc5Tl4 at its relaxed geometry, computed with PBE.

Lattice parameters (Å, degrees): 3.6100 3.6100 17.8220 90.00 90.00 90.00
Positions (direct):
Tl (0.0000, 0.0000, 0.6014)
Tl (0.0000, 0.0000, 0.1933)
Tl (0.0000, 0.0000, 0.8067)
Sc (0.5000, 0.5000, 0.2975)
Sc (0.5000, 0.5000, 0.5000)
Mg (0.0000, 0.0000, 0.0000)
Sc (0.5000, 0.5000, 0.9042)
Tl (0.0000, 0.0000, 0.3986)
Sc (0.5000, 0.5000, 0.0958)
Sc (0.5000, 0.5000, 0.7025)

Calculated values
Space group ... No. 123
Energy of formation ... -0.229 eV per atom
N(E_F) ... 9.85 states/eV/f.u.


(5)
Crystalline CrCo4Tc at its relaxed geometry, computed with PBE.

Lattice parameters (Å, degrees): 6.3917 4.0213 6.9516 90.00 90.00 51.04
Site moments in Bohr magnetons follow the coordinates.
Positions (direct):
Co (0.2540, 0.4961, 0.5832)  1.32
Co (0.7460, 0.5039, 0.0832)  1.32
Cr (0.5000, 0.2500, 0.2500)  -1.26
Tc (0.0000, 0.7500, 0.2500)  0.17
Co (0.7460, 0.0039, 0.5832)  1.32
Tc (0.0000, 0.2500, 0.7500)  0.17
Co (0.7460, 0.5039, 0.4168)  1.32
Co (0.2540, 0.9961, 0.0832)  1.32
Cr (0.5000, 0.7500, 0.7500)  -1.26
Co (0.7460, 0.0039, 0.9168)  1.32
Co (0.2540, 0.4961, 0.9168)  1.32
Co (0.2540, 0.9961, 0.4168)  1.32

Calculated values
Space group ... No. 65
Excess energy over the best structure of this formula in the dataset ... 0 kJ/mol of formula units
Energy of formation ... 0.088 eV per atom
N(E_F) ... 6.25 states/eV/f.u.


(6)
Crystalline SrAc6In5 at its relaxed geometry, computed with PBE.

Lattice parameters (Å, degrees): 5.8655 8.2874 10.2461 113.86 106.63 90.00
Positions (direct):
Sr (0.0000, 0.0000, 0.0000)
Ac (0.8230, 0.0819, 0.6462)
In (0.6676, 0.6676, 0.3353)
In (0.3324, 0.3324, 0.6647)
In (0.6492, 0.1493, 0.2986)
Ac (0.8230, 0.5643, 0.6462)
Ac (0.4999, 0.2752, 0.9999)
In (0.3508, 0.8507, 0.7014)
Ac (0.1770, 0.4357, 0.3538)
Ac (0.5001, 0.7248, 0.0001)
Ac (0.1770, 0.9181, 0.3538)
In (0.0000, 0.5000, 0.0000)

Calculated values
Space group ... No. 71
Energy of formation ... -0.324 eV per atom
N(E_F) ... 11.14 states/eV/f.u.


(7)
Crystalline ZrCo5W at its relaxed geometry, computed with PBE.

Lattice parameters (Å, degrees): 4.7122 7.7730 9.8007 90.00 90.00 90.00
Site moments in Bohr magnetons follow the coordinates.
Positions (direct):
Co (0.7500, 0.8092, 0.7526)  0.73
Co (0.4964, 0.5652, 0.8063)  0.42
Co (0.7500, 0.3092, 0.7474)  0.73
Co (0.7500, 0.4018, 0.9809)  0.44
Co (0.4964, 0.0652, 0.6937)  0.42
Zr (0.2500, 0.7550, 0.5575)  -0.10
W (0.2500, 0.3633, 0.6464)  -0.14
Zr (0.7500, 0.7450, 0.0575)  -0.10
W (0.2500, 0.8633, 0.8536)  -0.14
W (0.7500, 0.6367, 0.3536)  -0.14
Co (0.9964, 0.4348, 0.1937)  0.42
Co (0.2500, 0.1908, 0.2474)  0.73
Co (0.5036, 0.4348, 0.1937)  0.42
Co (0.5036, 0.9348, 0.3063)  0.42
Zr (0.2500, 0.2550, 0.9425)  -0.10
Co (0.2500, 0.0982, 0.4809)  0.44
Zr (0.7500, 0.2450, 0.4425)  -0.10
Co (0.7500, 0.0460, 0.9135)  0.02
W (0.7500, 0.1367, 0.1464)  -0.14
Co (0.2500, 0.4540, 0.4135)  0.02
Co (0.2500, 0.6908, 0.2526)  0.73
Co (0.9964, 0.9348, 0.3063)  0.42
Co (0.2500, 0.9540, 0.0865)  0.02
Co (0.7500, 0.5460, 0.5865)  0.02
Co (0.0036, 0.5652, 0.8063)  0.42
Co (0.2500, 0.5982, 0.0191)  0.44
Co (0.0036, 0.0652, 0.6937)  0.42
Co (0.7500, 0.9018, 0.5191)  0.44

Calculated values
Space group ... No. 62
Energy of formation ... -0.150 eV per atom
N(E_F) ... 8.08 states/eV/f.u.


(8)
Crystalline BaPAu2S4 at its relaxed geometry, computed with PBE.

Lattice parameters (Å, degrees): 6.1819 6.4871 6.4871 79.02 61.54 61.54
Positions (direct):
Au (0.5000, 0.3209, 0.6791)
Ba (0.0000, 0.0000, 0.0000)
S (0.0174, 0.8326, 0.5060)
Au (0.5000, 0.6791, 0.3209)
S (0.6441, 0.5060, 0.8326)
S (0.3559, 0.1674, 0.4940)
S (0.9826, 0.4940, 0.1674)
P (0.0000, 0.5000, 0.5000)

Calculated values
Space group ... No. 23
Formation energy (no corrections) ... -0.533 eV per atom
N(E_F) ... 4.32 states/eV/f.u.


(9)
Crystalline Pm6CoAu2 at its relaxed geometry, computed with PBE.

Lattice parameters (Å, degrees): 6.9275 7.3807 10.2667 90.00 91.94 90.00
Positions (direct):
Pm (0.1850, 0.3120, 0.0578)
Co (0.0000, 0.0000, 0.5000)
Co (0.5000, 0.5000, 0.0000)
Au (0.4529, 0.1023, 0.2592)
Pm (0.1298, 0.0219, 0.7517)
Pm (0.8150, 0.6880, 0.9422)
Pm (0.6298, 0.4781, 0.2517)
Pm (0.6817, 0.1896, 0.9366)
Pm (0.8702, 0.9781, 0.2483)
Pm (0.3183, 0.8104, 0.0634)
Pm (0.1817, 0.3104, 0.4366)
Au (0.9529, 0.3977, 0.7592)
Au (0.5471, 0.8977, 0.7408)
Pm (0.8183, 0.6896, 0.5634)
Pm (0.3702, 0.5219, 0.7483)
Pm (0.6850, 0.1880, 0.5578)
Au (0.0471, 0.6023, 0.2408)
Pm (0.3150, 0.8120, 0.4422)

Calculated values
Space group ... No. 14
Energy of formation ... -0.374 eV per atom
N(E_F) ... 9.58 states/eV/f.u.


(10)
Crystalline CaAc4Dy2 at its relaxed geometry, computed with PBE.

Lattice parameters (Å, degrees): 3.8332 8.7376 17.9444 90.00 90.00 102.67
Positions (direct):
Ca (0.5226, 0.0451, 0.2500)
Dy (0.8156, 0.6313, 0.5583)
Ac (0.1428, 0.2857, 0.6361)
Ac (0.2120, 0.4239, 0.2500)
Dy (0.1844, 0.3687, 0.0583)
Dy (0.8156, 0.6313, 0.9417)
Ac (0.5000, 0.0000, 0.0000)
Ac (0.5000, 0.0000, 0.5000)
Ac (0.7880, 0.5761, 0.7500)
Ca (0.4774, 0.9549, 0.7500)
Ac (0.8572, 0.7143, 0.3639)
Dy (0.1844, 0.3687, 0.4417)
Ac (0.1428, 0.2857, 0.8639)
Ac (0.8572, 0.7143, 0.1361)

Calculated values
Space group ... No. 63
Energy of formation ... 0.151 eV per atom
N(E_F) ... 7.84 states/eV/f.u.


(11)
Crystalline MoPd6Pt3 at its relaxed geometry, computed with PBE.

Lattice parameters (Å, degrees): 6.8820 6.8820 6.8820 90.20 90.20 90.20
Positions (direct):
Pd (0.4916, 0.6059, 0.1592)
Pd (0.1592, 0.4916, 0.6059)
Pd (0.8515, 0.6242, 0.9483)
Pd (0.8408, 0.5084, 0.3941)
Mo (0.0000, 0.0000, 0.0000)
Pt (0.1253, 0.7372, 0.2491)
Pt (0.7509, 0.8747, 0.2628)
Mo (0.5000, 0.5000, 0.5000)
Pd (0.3758, 0.0517, 0.1485)
Pt (0.2491, 0.1253, 0.7372)
Pd (0.6242, 0.9483, 0.8515)
Pt (0.2628, 0.7509, 0.8747)
Pd (0.6059, 0.1592, 0.4916)
Pt (0.7372, 0.2491, 0.1253)
Pd (0.5084, 0.3941, 0.8408)
Pd (0.3941, 0.8408, 0.5084)
Pd (0.1485, 0.3758, 0.0517)
Pd (0.9483, 0.8515, 0.6242)
Pd (0.0517, 0.1485, 0.3758)
Pt (0.8747, 0.2628, 0.7509)

Calculated values
Space group ... No. 148
Excess energy over the best structure of this formula in the dataset ... 0 kJ/mol of formula units
Energy of formation ... 0.052 eV per atom
N(E_F) ... 9.96 states/eV/f.u.


(12)
Crystalline Sm4Se3N2 at its relaxed geometry, computed with PBE.

Lattice parameters (Å, degrees): 4.0343 7.1214 8.3544 85.88 76.03 73.55
Positions (direct):
Sm (0.5583, 0.7336, 0.1498)
N (0.6497, 0.0623, 0.6383)
Se (0.8359, 0.5569, 0.7713)
N (0.3503, 0.9377, 0.3617)
Se (0.0000, 0.0000, 0.0000)
Sm (0.2459, 0.8689, 0.6394)
Se (0.1641, 0.4431, 0.2287)
Sm (0.7541, 0.1311, 0.3606)
Sm (0.4417, 0.2664, 0.8502)

Calculated values
Space group ... No. 12
Formation energy (no corrections) ... -1.776 eV per atom


(13)
Crystalline Tb7PmDy4 at its relaxed geometry, computed with PBE.

Lattice parameters (Å, degrees): 7.1870 9.4993 8.8585 81.05 90.00 40.91
Positions (direct):
Dy (0.4700, 0.2792, 0.6656)
Dy (0.2793, 0.2205, 0.3341)
Pm (0.0000, 0.0000, 0.0000)
Tb (0.7784, 0.2214, 0.3341)
Dy (0.5300, 0.7208, 0.3344)
Tb (0.5000, 0.0000, 0.0000)
Tb (0.2492, 0.4999, 0.9999)
Tb (0.0282, 0.7207, 0.3346)
Tb (0.9718, 0.2793, 0.6654)
Tb (0.7508, 0.5001, 0.0001)
Dy (0.7207, 0.7795, 0.6659)
Tb (0.2216, 0.7786, 0.6659)

Calculated values
Space group ... No. 2
Excess energy over the best structure of this formula in the dataset ... 0 kJ/mol of formula units
Energy of formation ... -0.001 eV per atom
N(E_F) ... 16.19 states/eV/f.u.


(14)
Crystalline AcBRh3 at its relaxed geometry, computed with PBE.

Lattice parameters (Å, degrees): 4.3463 4.3463 4.3463 90.00 90.00 90.00
Positions (direct):
Rh (0.5000, 0.0000, 0.0000)
Rh (0.0000, 0.5000, 0.0000)
Ac (0.5000, 0.5000, 0.5000)
Rh (0.0000, 0.0000, 0.5000)
B (0.0000, 0.0000, 0.0000)

Calculated values
Space group ... No. 221
Energy of formation ... -0.620 eV per atom
N(E_F) ... 5.56 states/eV/f.u.


(15)
Crystalline CePm3Pu2N6 at its relaxed geometry, computed with PBE.

Lattice parameters (Å, degrees): 6.1544 6.1544 6.1484 99.60 99.60 120.00
Site moments in Bohr magnetons follow the coordinates.
Positions (direct):
Ce (0.0000, 0.0000, 0.0000)  0.37
N (0.9227, 0.5818, 0.7688)  -0.12
N (0.2641, 0.2641, 0.7698)  -0.12
Pm (0.8335, 0.1665, 0.5000)  0.09
N (0.4182, 0.0773, 0.2312)  -0.12
N (0.7359, 0.7359, 0.2302)  -0.12
Pm (0.1665, 0.8335, 0.5000)  0.09
Pu (0.3333, 0.6667, 0.0000)  4.56
Pu (0.6667, 0.3333, 0.0000)  4.56
N (0.0773, 0.4182, 0.2312)  -0.12
Pm (0.5000, 0.5000, 0.5000)  0.09
N (0.5818, 0.9227, 0.7688)  -0.12

Calculated values
Space group ... No. 12
Formation energy (no corrections) ... -1.397 eV per atom
N(E_F) ... 13.45 states/eV/f.u.


(16)
Crystalline Be3FeB at its relaxed geometry, computed with PBE.

Lattice parameters (Å, degrees): 3.5653 3.5653 3.5653 90.00 90.00 90.00
Site moments in Bohr magnetons follow the coordinates.
Positions (direct):
Be (0.5000, 0.0000, 0.0000)  -0.04
Be (0.0000, 0.0000, 0.5000)  -0.01
B (0.0000, 0.0000, 0.0000)  0.08
Be (0.0000, 0.5000, 0.0000)  -0.03
Fe (0.5000, 0.5000, 0.5000)  2.20

Calculated values
Space group ... No. 221
Excess energy over the best structure of this formula in the dataset ... 0 kJ/mol of formula units
Energy of formation ... 0.357 eV per atom
N(E_F) ... 2.80 states/eV/f.u.


(17)
Crystalline CsYBe2Au at its relaxed geometry, computed with PBE.

Lattice parameters (Å, degrees): 4.8513 4.8513 5.7824 90.00 90.00 90.00
Positions (direct):
Be (0.5000, 0.0000, 0.0000)
Au (0.5000, 0.5000, 0.5000)
Cs (0.0000, 0.0000, 0.0000)
Y (0.0000, 0.0000, 0.5000)
Be (0.0000, 0.5000, 0.0000)

Calculated values
Space group ... No. 123
Energy of formation ... 2.035 eV per atom
N(E_F) ... 4.07 states/eV/f.u.


(18)
Crystalline FeCoNiIr at its relaxed geometry, computed with PBE.

Lattice parameters (Å, degrees): 4.1182 4.1182 4.1182 60.00 60.00 60.00
Site moments in Bohr magnetons follow the coordinates.
Positions (direct):
Ni (0.2500, 0.2500, 0.2500)  0.44
Fe (0.7500, 0.7500, 0.7500)  2.72
Co (0.0000, 0.0000, 0.0000)  1.77
Ir (0.5000, 0.5000, 0.5000)  0.56

Calculated values
Space group ... No. 216
Excess energy over the best structure of this formula in the dataset ... 45 kJ/mol of formula units
Energy of formation ... 0.092 eV per atom
N(E_F) ... 7.18 states/eV/f.u.


(19)
Crystalline PmBeAl3Ni at its relaxed geometry, computed with PBE.

Lattice parameters (Å, degrees): 5.6887 6.1506 6.6951 117.34 90.00 90.00
Positions (direct):
Ni (0.7500, 0.0570, 0.1140)
Pm (0.7500, 0.2772, 0.5544)
Al (0.0000, 0.7075, 0.0000)
Al (0.0000, 0.2925, 0.0000)
Al (0.7500, 0.8537, 0.7074)
Al (0.5000, 0.7075, 0.0000)
Be (0.2500, 0.3557, 0.7115)
Al (0.5000, 0.2925, 0.0000)
Pm (0.2500, 0.7228, 0.4456)
Ni (0.2500, 0.9430, 0.8860)
Be (0.7500, 0.6443, 0.2885)
Al (0.2500, 0.1463, 0.2926)

Calculated values
Space group ... No. 63
Energy of formation ... -0.191 eV per atom
N(E_F) ... 2.33 states/eV/f.u.


(20)
Crystalline Zr2TeOs at its relaxed geometry, computed with PBE.

Lattice parameters (Å, degrees): 5.1768 5.1768 4.8266 62.07 62.07 46.37
Positions (direct):
Os (0.7500, 0.7500, 0.7500)
Te (0.2500, 0.2500, 0.2500)
Zr (0.4851, 0.4851, 0.5149)
Zr (0.0149, 0.0149, 0.9851)

Calculated values
Space group ... No. 12
Formation energy (no corrections) ... -0.218 eV per atom
N(E_F) ... 3.30 states/eV/f.u.


| no. | calculated density (g/cm3) |
| --- | --- |
| 1 | 4.3 |
| 2 | 8.3 |
| 3 | 6.4 |
| 4 | 7.6 |
| 5 | 9.2 |
| 6 | 7.8 |
| 7 | 10.5 |
| 8 | 5.7 |
| 9 | 8.4 |
| 10 | 7.2 |
| 11 | 13.4 |
| 12 | 6.4 |
| 13 | 8.2 |
| 14 | 11.1 |
| 15 | 10.0 |
| 16 | 3.4 |
| 17 | 5.3 |
| 18 | 12.3 |
| 19 | 4.7 |
| 20 | 10.3 |